The following is a DFT calculation (GGA-PBE) of an optimized crystal structure of BaLaSc2Fe.

a = 5.2666 Å, b = 5.2666 Å, c = 5.2411 Å
α = 90.00°, β = 90.00°, γ = 90.00°
Closest atoms and distances in Å follow each position.
Space group P4/mmm (No. 123)
Asymmetric unit:
Ba 0.0000 0.0000 0.0000 x1  8 Sc 3.72, 4 La 3.72
La 0.5000 0.5000 0.0000 x1  2 Fe 2.62
Sc 0.0000 0.5000 0.5000 x2  2 Fe 2.63
Fe 0.5000 0.5000 0.5000 x1  2 La 2.62, 4 Sc 2.63

Calculated values
Total magnetization, μB per atom: 0.00
ΔE_f, eV/f.u.: 0.58
Crystal system: tetragonal

The following is a DFT calculation (GGA-PBE) of an optimized crystal structure of BaLa2ScFe.

a = 5.4669 Å, b = 5.4669 Å, c = 5.3984 Å
α = 90.00°, β = 90.00°, γ = 90.00°
Closest atoms and distances in Å follow each position.
Space group P4/mmm (No. 123)
Asymmetric unit:
Ba 0.0000 0.0000 0.0000 x1  8 La 3.84, 4 Sc 3.87
La 0.0000 0.5000 0.5000 x2  2 Fe 2.73
Sc 0.5000 0.5000 0.0000 x1  2 Fe 2.70
Fe 0.5000 0.5000 0.5000 x1  2 Sc 2.70, 4 La 2.73

Calculated values
Total magnetization, μB per atom: 0.00
ΔE_f, eV/f.u.: 0.64
Crystal system: tetragonal